No. 1
Here is a geometry-optimized Sc2As structure from Alexandria. Energies are from PBE.

CIF file:
```
data_Sc2As
_space_group_name_H-M_alt 'C m c m'
_space_group_IT_number 63
_space_group_name_Hall '-C 2c 2'
_cell_length_a 3.748
_cell_length_b 11.816
_cell_length_c 5.631
_cell_angle_alpha 90.00
_cell_angle_beta 90.00
_cell_angle_gamma 90.00
loop_
_atom_site_label
_atom_site_type_symbol
_atom_site_fract_x
_atom_site_fract_y
_atom_site_fract_z
Sc1 Sc 0.000 0.000 0.000
Sc2 Sc 0.000 0.296 0.250
As1 As 0.000 0.369 0.750
```

Summary:
- energy (eV/atom) = -6.6828
- total magnetic moment (Bohr magnetons per cell) = 1.7

No. 2
Here is a geometry-optimized Ac2SbRh6C structure from Alexandria. Energies are from PBE.

CIF file:
```
data_Ac2SbRh6C
_space_group_name_H-M_alt 'R -3 m'
_space_group_IT_number 166
_space_group_name_Hall '-R 3 2"'
_cell_length_a 5.9176
_cell_length_b 5.9176
_cell_length_c 18.9641
_cell_angle_alpha 90.00
_cell_angle_beta 90.00
_cell_angle_gamma 120.00
loop_
_atom_site_label
_atom_site_type_symbol
_atom_site_fract_x
_atom_site_fract_y
_atom_site_fract_z
Ac1 Ac 0.0000 0.0000 0.2304
Sb1 Sb 0.0000 0.0000 0.5000
Rh1 Rh 0.0098 0.5049 0.2761
C1 C 0.0000 0.0000 0.0000
```

Summary:
- total magnetic moment (Bohr magnetons per cell) = 0.0
- energy relative to the elements, uncorrected (eV per formula unit) = -5.1

No. 3
Here is a geometry-optimized AlFeSiOs structure from Alexandria. Energies are from PBE.

CIF file:
```
data_AlFeSiOs
_space_group_name_H-M_alt 'P 4 m m'
_space_group_IT_number 99
_space_group_name_Hall 'P 4 -2'
_cell_length_a 2.902
_cell_length_b 2.902
_cell_length_c 5.815
_cell_angle_alpha 90.00
_cell_angle_beta 90.00
_cell_angle_gamma 90.00
loop_
_atom_site_label
_atom_site_type_symbol
_atom_site_fract_x
_atom_site_fract_y
_atom_site_fract_z
Al1 Al 0.000 0.000 0.000
Fe1 Fe 0.500 0.500 0.752
Si1 Si 0.000 0.000 0.531
Os1 Os 0.500 0.500 0.280
```

Summary:
- total magnetic moment (Bohr magnetons per cell) = 0.0
- energy relative to the elements, uncorrected (eV per formula unit) = -1.7

No. 4
Here is a geometry-optimized Ca2La3Bi3 structure from Alexandria. Energies are from PBE.

CIF file:
```
data_Ca2La3Bi3
_space_group_name_H-M_alt 'P 63/m c m'
_space_group_IT_number 193
_space_group_name_Hall '-P 6c 2'
_cell_length_a 9.5463
_cell_length_b 9.5463
_cell_length_c 6.8384
_cell_angle_alpha 90.00
_cell_angle_beta 90.00
_cell_angle_gamma 120.00
loop_
_atom_site_label
_atom_site_type_symbol
_atom_site_fract_x
_atom_site_fract_y
_atom_site_fract_z
Ca1 Ca 0.3333 0.6667 0.0000
La1 La 0.0000 0.2456 0.2500
Bi1 Bi 0.0000 0.3932 0.7500
```

Summary:
- energy (eV/atom) = -4.5996
- total magnetic moment (Bohr magnetons per cell) = 1.7

No. 5
Here is a geometry-optimized Al3SbCl structure from Alexandria. Energies are from PBE.

CIF file:
```
data_Al3SbCl
_space_group_name_H-M_alt 'P m -3 m'
_space_group_IT_number 221
_space_group_name_Hall '-P 4 2 3'
_cell_length_a 5.027
_cell_length_b 5.027
_cell_length_c 5.027
_cell_angle_alpha 90.00
_cell_angle_beta 90.00
_cell_angle_gamma 90.00
loop_
_atom_site_label
_atom_site_type_symbol
_atom_site_fract_x
_atom_site_fract_y
_atom_site_fract_z
Al1 Al 0.000 0.000 0.500
Sb1 Sb 0.500 0.500 0.500
Cl1 Cl 0.000 0.000 0.000
```

Summary:
- total magnetic moment (Bohr magnetons per cell) = 0.0
- polymorph energy (0 for the lowest one) (kcal/mol of atoms) = 0.000
- energy relative to the elements, uncorrected (eV per formula unit) = 2.6

No. 6
Here is a geometry-optimized MoHIr2Pd structure from Alexandria. Energies are from PBE.

CIF file:
```
data_MoHIr2Pd
_space_group_name_H-M_alt 'P 4/m m m'
_space_group_IT_number 123
_space_group_name_Hall '-P 4 2'
_cell_length_a 4.698
_cell_length_b 4.698
_cell_length_c 4.904
_cell_angle_alpha 90.00
_cell_angle_beta 90.00
_cell_angle_gamma 90.00
loop_
_atom_site_label
_atom_site_type_symbol
_atom_site_fract_x
_atom_site_fract_y
_atom_site_fract_z
Mo1 Mo 0.000 0.000 0.000
H1 H 0.500 0.500 0.500
Ir1 Ir 0.000 0.500 0.000
Pd1 Pd 0.000 0.000 0.500
```

Summary:
- energy (eV/atom) = -5.4447
- total magnetic moment (Bohr magnetons per cell) = 0.8

No. 7
Here is a geometry-optimized BaFeAu3 structure from Alexandria. Energies are from PBE.

CIF file:
```
data_BaFeAu3
_space_group_name_H-M_alt 'P m -3 m'
_space_group_IT_number 221
_space_group_name_Hall '-P 4 2 3'
_cell_length_a 6.069
_cell_length_b 6.069
_cell_length_c 6.069
_cell_angle_alpha 90.00
_cell_angle_beta 90.00
_cell_angle_gamma 90.00
loop_
_atom_site_label
_atom_site_type_symbol
_atom_site_fract_x
_atom_site_fract_y
_atom_site_fract_z
Ba1 Ba 0.000 0.000 0.000
Fe1 Fe 0.500 0.500 0.500
Au1 Au 0.000 0.000 0.500
```

Summary:
- total magnetic moment (Bohr magnetons per cell) = 4.3
- polymorph energy (0 for the lowest one) (kcal/mol of atoms) = 32.198

No. 8
Here is a geometry-optimized LaNd2IO4 structure from Alexandria. Energies are from PBE.

CIF file:
```
data_LaNd2IO4
_space_group_name_H-M_alt 'P 4/m m m'
_space_group_IT_number 123
_space_group_name_Hall '-P 4 2'
_cell_length_a 4.118
_cell_length_b 4.118
_cell_length_c 9.790
_cell_angle_alpha 90.00
_cell_angle_beta 90.00
_cell_angle_gamma 90.00
loop_
_atom_site_label
_atom_site_type_symbol
_atom_site_fract_x
_atom_site_fract_y
_atom_site_fract_z
La1 La 0.000 0.000 0.000
Nd1 Nd 0.500 0.500 0.252
I1 I 0.000 0.000 0.500
O1 O 0.000 0.500 0.152
```

Summary:
- total magnetic moment (Bohr magnetons per cell) = 0.0
- energy relative to the elements, uncorrected (eV per formula unit) = -24.7